Crystalline MnTl3Cl6 at its relaxed geometry. Source: Alexandria via LeMat-Bulk, functional PBE.

a b c (Å): 7.195 7.658 13.160
angles (deg): 90.00 122.75 90.00
Positions (direct):
1 Mn 0.000 0.000 0.000
2 Mn 0.000 0.500 0.500
3 Tl 0.237 0.075 0.744
4 Tl 0.237 0.425 0.244
5 Tl 0.500 0.000 0.500
6 Tl 0.500 0.500 0.000
7 Tl 0.763 0.575 0.756
8 Tl 0.763 0.925 0.256
9 Cl 0.102 0.238 0.455
10 Cl 0.102 0.262 0.955
11 Cl 0.230 0.651 0.459
12 Cl 0.230 0.849 0.959
13 Cl 0.327 0.031 0.229
14 Cl 0.327 0.469 0.729
15 Cl 0.673 0.531 0.271
16 Cl 0.673 0.969 0.771
17 Cl 0.770 0.151 0.041
18 Cl 0.770 0.349 0.541
19 Cl 0.898 0.738 0.045
20 Cl 0.898 0.762 0.545

symmetry: P2_1/c, No. 14
spin magnetization: 4.000 μB/f.u.
ΔE to the lowest computed polymorph: 0 meV per atom
raw formation energy: -1.01 eV/atom